## SrCdFe2Mo (PBE-GGA)

Data for a relaxed SrCdFe2Mo crystal.

Unit cell a=4.514 b=5.373 c=4.514 alpha=90.00 beta=90.00 gamma=90.00
Positions (direct):
Sr 0.500 0.500 0.500
Mo 0.000 0.000 0.000
Fe 0.000 0.000 0.500
Fe 0.500 0.000 0.000
Cd 0.000 0.500 0.000

As for the total energy: -5.163 eV per atom. The size of the total moment comes out at 0.0 μB/f.u. Its crystal system is tetragonal. The symmetry is No. 123.

***

## Cd2FeMoW (PBE-GGA)

Data for a relaxed Cd2FeMoW crystal.

Unit cell a=5.253 b=4.611 c=5.253 alpha=90.00 beta=90.00 gamma=90.00
Last column: magnetic moment on the atom in μB.
Positions (direct):
Mo 0.000 0.500 0.000  0.53
Fe 0.500 0.500 0.500  3.23
W 0.000 0.000 0.000  -0.01
Cd 0.000 0.000 0.500  0.00
Cd 0.500 0.000 0.000  -0.01

As for the total energy: -4.996 eV per atom. The size of the total moment comes out at 3.9 μB/f.u. Its crystal system is tetragonal. The symmetry is No. 123.

***

## ZnCdFe2Mo (PBE-GGA)

Data for a relaxed ZnCdFe2Mo crystal.

Unit cell a=4.607 b=4.958 c=4.607 alpha=90.00 beta=90.00 gamma=90.00
Last column: magnetic moment on the atom in μB.
Positions (direct):
Fe 0.000 0.000 0.500  -0.53
Fe 0.500 0.000 0.000  -0.04
Mo 0.000 0.500 0.000  0.02
Zn 0.500 0.500 0.500  0.01
Cd 0.000 0.000 0.000  0.00

As for the total energy: -3.596 eV per atom. The size of the total moment comes out at 0.5 μB/f.u. Its crystal system is tetragonal. The symmetry is No. 123.

***

## ZrCd2FeMo (PBE-GGA)

Data for a relaxed ZrCd2FeMo crystal.

Unit cell a=5.163 b=4.296 c=5.163 alpha=90.00 beta=90.00 gamma=90.00
Last column: magnetic moment on the atom in μB.
Positions (direct):
Mo 0.000 0.000 0.000  -0.13
Fe 0.000 0.500 0.000  1.63
Zr 0.500 0.500 0.500  -0.13
Cd 0.000 0.000 0.500  0.01
Cd 0.500 0.000 0.000  0.02

As for the total energy: -4.844 eV per atom. The size of the total moment comes out at 1.4 μB/f.u. Its crystal system is tetragonal. The symmetry is No. 123.

***

## Zr2CdFeMo (PBE-GGA)

Data for a relaxed Zr2CdFeMo crystal.

Unit cell a=4.676 b=4.883 c=4.676 alpha=90.00 beta=90.00 gamma=90.00
Last column: magnetic moment on the atom in μB.
Positions (direct):
Mo 0.500 0.500 0.500  2.25
Fe 0.000 0.000 0.000  0.50
Zr 0.000 0.000 0.500  -0.11
Zr 0.500 0.000 0.000  -0.20
Cd 0.000 0.500 0.000  -0.01

As for the total energy: -6.695 eV per atom. The size of the total moment comes out at 2.7 μB/f.u. Its crystal system is tetragonal. The symmetry is No. 123.

***

## CdFe5N4 (PBE-GGA)

Data for a relaxed CdFe5N4 crystal.

Unit cell a=4.657 b=5.483 c=8.138 alpha=90.00 beta=90.00 gamma=90.00
Last column: magnetic moment on the atom in μB.
Positions (direct):
Cd 0.291 0.000 0.500  0.00
Cd 0.709 0.500 0.000  0.00
Fe 0.739 0.258 0.298  0.63
Fe 0.739 0.258 0.702  0.63
Fe 0.739 0.742 0.298  0.63
Fe 0.739 0.742 0.702  0.63
Fe 0.261 0.242 0.202  0.63
Fe 0.261 0.242 0.798  0.63
Fe 0.261 0.758 0.202  0.63
Fe 0.261 0.758 0.798  0.63
Fe 0.141 0.500 0.500  -0.68
Fe 0.859 0.000 0.000  -0.68
N 0.855 0.740 0.500  -0.01
N 0.855 0.260 0.500  -0.01
N 0.145 0.760 0.000  -0.01
N 0.145 0.240 0.000  -0.01
N 0.434 0.500 0.322  -0.02
N 0.434 0.500 0.678  -0.02
N 0.566 0.000 0.178  -0.02
N 0.566 0.000 0.822  -0.02

As for the total energy: -7.446 eV per atom. The size of the total moment comes out at 1.8 μB/f.u. Its crystal system is orthorhombic. The symmetry is No. 59.